Record 1
Below is crystalline Tl2ReAs at its relaxed geometry, with properties calculated at the PBE-GGA level.

Results
- Relative energy among the computed polymorphs: 0.631 eV/atom

Cell: 3.1381 5.1495 10.6841 Å, 90.00 90.00 90.00°
Last column: nearest neighbours and their distance in Å.
Space group Cmmm (No. 65)
Symmetry-distinct sites (fractional):
Tl: 0.0000 0.0000 0.2350  2 Re 2.96, 6 Tl 3.02-3.14, 2 As 3.24
Re: 0.0000 0.5000 0.0000  4 Tl 2.96, 6 Re 3.02-3.14
As: 0.0000 0.5000 0.5000  6 As 3.02-3.14, 4 Tl 3.24


Record 2
Below is crystalline Tl2ReAs at its relaxed geometry, with properties calculated at the PBE-GGA level.

Results
- Relative energy among the computed polymorphs: 0.678 eV/atom

Cell: 2.8959 2.8959 10.6502 Å, 90.00 90.00 90.00°
Last column: nearest neighbours and their distance in Å.
Space group P4/mmm (No. 123)
Symmetry-distinct sites (fractional):
Tl: 0.0000 0.0000 0.2281  4 Tl 2.90, 4 Re 3.18
Re: 0.5000 0.5000 0.0000  4 Re 2.90, 8 Tl 3.18
As: 0.5000 0.5000 0.5000  4 As 2.90


Record 3
Below is crystalline TlReAs2 at its relaxed geometry, with properties calculated at the PBE-GGA level.

Results
- Relative energy among the computed polymorphs: 0.800 eV/atom

Cell: 5.6912 7.8663 3.3882 Å, 90.00 90.00 90.00°
Last column: nearest neighbours and their distance in Å.
Space group Cmmm (No. 65)
Symmetry-distinct sites (fractional):
Tl: 0.0000 0.0000 0.0000  2 Re 2.85, 8 As 2.96
Re: 0.0000 0.5000 0.0000  2 Tl 2.85, 8 As 2.96
As: 0.2500 0.2500 0.5000  2 As 2.85, 4 Tl 2.96, 4 Re 2.96


Record 4
Below is crystalline TlReAs2 at its relaxed geometry, with properties calculated at the PBE-GGA level.

Results
- Relative energy among the computed polymorphs: 0.906 eV/atom

Cell: 4.7972 4.7972 3.2949 Å, 90.00 90.00 90.00°
Last column: nearest neighbours and their distance in Å.
Space group P4/mmm (No. 123)
Symmetry-distinct sites (fractional):
Tl: 0.0000 0.0000 0.0000  8 As 2.91
Re: 0.5000 0.5000 0.0000  8 As 2.91
As: 0.0000 0.5000 0.5000  4 Tl 2.91, 4 Re 2.91


Record 5
Below is crystalline TlRe2As at its relaxed geometry, with properties calculated at the PBE-GGA level.

Results
- Relative energy among the computed polymorphs: 0.000 eV/atom

Cell: 2.9872 2.9872 8.4449 Å, 90.00 90.00 90.00°
Last column: nearest neighbours and their distance in Å.
Space group P4mm (No. 99)
Symmetry-distinct sites (fractional):
Tl: 0.0000 0.0000 0.0000  4 Tl 2.99, 4 Re 3.08
Re: 0.0000 0.0000 0.5472  4 Re 2.64, 4 As 2.71
Re: 0.5000 0.5000 0.7343  4 Re 2.64
As: 0.5000 0.5000 0.3456  4 Re 2.71, 4 As 2.99


Record 6
Below is crystalline Tl2ReAs at its relaxed geometry, with properties calculated at the PBE-GGA level.

Results
- Relative energy among the computed polymorphs: 0.607 eV/atom

Cell: 3.0906 3.0906 30.7898 Å, 90.00 90.00 120.00°
Last column: nearest neighbours and their distance in Å.
Space group R-3m (No. 166, hexagonal axes)
Symmetry-distinct sites (fractional):
Tl: 0.0000 0.0000 0.2450  3 Re 3.00, 6 Tl 3.09, 3 As 3.25
Re: 0.0000 0.0000 0.5000  6 Tl 3.00, 6 Re 3.09
As: 0.0000 0.0000 0.0000  6 As 3.09, 6 Tl 3.25


Record 7
Below is crystalline Tl2ReAs at its relaxed geometry, with properties calculated at the PBE-GGA level.

Results
- Relative energy among the computed polymorphs: 0.191 eV/atom

Cell: 3.1318 4.7139 13.1380 Å, 90.00 90.00 90.00°
Last column: nearest neighbours and their distance in Å.
Space group Imm2 (No. 44)
Symmetry-distinct sites (fractional):
Tl: 0.0000 0.0000 0.0000  4 Re 2.86, 2 Tl 3.13
Tl: 0.0000 0.5000 0.1905  4 Tl 3.13-3.44, 2 Re 3.32, 4 As 3.33
Re: 0.0000 0.0000 0.4679  2 As 2.45
As: 0.0000 0.5000 0.8243  2 Re 2.45


Record 8
Below is crystalline Tl2ReAs at its relaxed geometry, with properties calculated at the PBE-GGA level.

Results
- Relative energy among the computed polymorphs: 0.711 eV/atom

Cell: 3.5691 5.0121 9.2718 Å, 90.00 90.00 90.00°
Last column: nearest neighbours and their distance in Å.
Space group Immm (No. 71)
Symmetry-distinct sites (fractional):
Tl: 0.0000 0.0000 0.2444  2 Re 2.88, 2 As 2.97, 4 Tl 3.08
Re: 0.0000 0.5000 0.5000  4 Tl 2.88, 4 As 3.08
As: 0.0000 0.5000 0.0000  4 Tl 2.97, 4 Re 3.08


Record 9
Below is crystalline TlReAs2 at its relaxed geometry, with properties calculated at the PBE-GGA level.

Results
- Relative energy among the computed polymorphs: 0.955 eV/atom

Cell: 6.7093 6.7093 6.7093 Å, 90.00 90.00 90.00°
Last column: nearest neighbours and their distance in Å.
Space group F-43m (No. 216)
Symmetry-distinct sites (fractional):
Tl: 0.0000 0.0000 0.0000  4 Re 2.91, 4 As 2.91
Re: 0.2500 0.2500 0.2500  4 As 2.91, 4 Tl 2.91
As: 0.0000 0.0000 0.5000  4 As 2.91, 4 Re 2.91
As: 0.2500 0.2500 0.7500  4 Tl 2.91, 4 As 2.91


Record 10
Below is crystalline TlRe3As at its relaxed geometry, with properties calculated at the PBE-GGA level.

Results
- Relative energy among the computed polymorphs: 0.000 eV/atom

Cell: 4.6040 4.6040 4.6040 Å, 90.00 90.00 90.00°
Last column: nearest neighbours and their distance in Å.
Space group Pm-3m (No. 221)
Symmetry-distinct sites (fractional):
Tl: 0.0000 0.0000 0.0000  12 Re 3.26
Re: 0.0000 0.5000 0.5000  2 As 2.30
As: 0.5000 0.5000 0.5000  6 Re 2.30


Record 11
Below is crystalline Tl2ReAs at its relaxed geometry, with properties calculated at the PBE-GGA level.

Results
- Relative energy among the computed polymorphs: 0.017 eV/atom

Cell: 3.2289 3.2289 30.4197 Å, 90.00 90.00 120.00°
Last column: nearest neighbours and their distance in Å.
Space group R3m (No. 160, hexagonal axes)
Symmetry-distinct sites (fractional):
Tl: 0.0000 0.0000 0.0000  3 Re 3.00, 6 Tl 3.23
Tl: 0.0000 0.0000 0.2356  9 Tl 3.23-3.51
Re: 0.0000 0.0000 0.7441  3 As 2.49
As: 0.0000 0.0000 0.4648  3 Re 2.49


Record 12
Below is crystalline TlRe2As at its relaxed geometry, with properties calculated at the PBE-GGA level.

Results
- Relative energy among the computed polymorphs: 0.534 eV/atom

Cell: 3.0360 3.9933 5.9252 Å, 90.00 103.01 90.00°
Last column: nearest neighbours and their distance in Å.
Space group P2/m (No. 10)
Symmetry-distinct sites (fractional):
Tl: 0.0000 0.0000 0.0000  8 Re 2.97-3.10, 2 As 3.01, 2 Tl 3.04
Re: 0.3280 0.5000 0.7056  2 As 2.46
As: 0.5000 0.0000 0.5000  4 Re 2.46


Record 13
Below is crystalline TlReAs2 at its relaxed geometry, with properties calculated at the PBE-GGA level.

Results
- Relative energy among the computed polymorphs: 0.944 eV/atom

Cell: 4.0123 4.0123 4.8625 Å, 90.00 90.00 90.00°
Last column: nearest neighbours and their distance in Å.
Space group P4/mmm (No. 123)
Symmetry-distinct sites (fractional):
Tl: 0.0000 0.0000 0.0000  4 Re 2.84, 8 As 3.15
Re: 0.5000 0.5000 0.0000  4 Tl 2.84, 8 As 3.15
As: 0.0000 0.5000 0.5000  4 As 2.84, 4 Tl 3.15, 4 Re 3.15


Record 14
Below is crystalline TlRe2As at its relaxed geometry, with properties calculated at the PBE-GGA level.

Results
- Relative energy among the computed polymorphs: 0.667 eV/atom

Cell: 6.4577 6.5131 6.6119 Å, 90.00 90.00 90.00°
Last column: nearest neighbours and their distance in Å.
Space group F222 (No. 22)
Symmetry-distinct sites (fractional):
Tl: 0.0000 0.0000 0.0000  4 As 2.83, 4 Re 2.83
Re: 0.0000 0.0000 0.5000  4 As 2.83, 4 Re 2.83
Re: 0.2500 0.2500 0.2500  4 Tl 2.83, 4 Re 2.83
As: 0.2500 0.2500 0.7500  4 Tl 2.83, 4 Re 2.83


Record 15
Below is crystalline TlReAs2 at its relaxed geometry, with properties calculated at the PBE-GGA level.

Results
- Relative energy among the computed polymorphs: 0.008 eV/atom

Cell: 3.0978 3.0978 8.8285 Å, 90.00 90.00 90.00°
Last column: nearest neighbours and their distance in Å.
Space group P4/mmm (No. 123)
Symmetry-distinct sites (fractional):
Tl: 0.0000 0.0000 0.0000  4 Tl 3.10
Re: 0.0000 0.0000 0.5000  8 As 2.66
As: 0.5000 0.5000 0.3297  4 Re 2.66


| no. | density of states at the Fermi level (states/eV per atom) | calculated formation energy (eV/atom) |
| --- | --- | --- |
| 1 | 0.950 | 0.95 |
| 2 | 1.131 | 1.00 |
| 3 | 1.052 | 0.86 |
| 4 | 0.959 | 0.97 |
| 5 | 0.569 | 0.33 |
| 6 | 0.854 | 0.92 |
| 7 | 0.573 | 0.51 |
| 8 | 0.838 | 1.03 |
| 9 | 1.037 | 1.02 |
| 10 | 1.177 | 1.66 |
| 11 | 0.495 | 0.33 |
| 12 | 0.674 | 0.86 |
| 13 | 0.932 | 1.01 |
| 14 | 0.700 | 1.00 |
| 15 | 0.552 | 0.07 |